Record 1
LaMnAl2C at its PBEsol-relaxed geometry. Source: the Alexandria database, functional meta-GGA SCAN.

a b c (Å): 4.026 4.026 5.171
angles (deg): 90.00 90.00 90.00
Each line ends with the local moment (μB).
Sites, in units of the cell vectors:
1 C 0.000 0.000 0.000  -0.01
2 Mn 0.500 0.500 0.500  -3.59
3 Al 0.000 0.500 0.000  0.06
4 Al 0.500 0.000 0.000  0.06
5 La 0.000 0.000 0.500  0.21

energy: -17.2068 eV/atom
Fermi-level density of states: 0.559 states/eV per atom

=====

Record 2
CoSi3P3 at its PBEsol-relaxed geometry. Source: the Alexandria database, functional meta-GGA SCAN.

a b c (Å): 5.662 5.864 12.677
angles (deg): 90.15 90.00 90.00
Sites, in units of the cell vectors:
1 Si 0.100 0.473 0.672
2 P 0.459 0.345 0.179
3 Si 0.171 0.924 0.045
4 Co 0.967 0.482 0.387
5 Co 0.467 0.518 0.613
6 Si 0.495 0.064 0.426
7 P 0.407 0.975 0.826
8 P 0.987 0.563 0.074
9 P 0.334 0.418 0.451
10 P 0.834 0.582 0.549
11 P 0.924 0.132 0.723
12 P 0.907 0.025 0.174
13 P 0.487 0.437 0.926
14 Si 0.586 0.640 0.072
15 Si 0.600 0.527 0.328
16 Co 0.536 0.995 0.121
17 Si 0.671 0.076 0.955
18 P 0.424 0.868 0.277
19 Si 0.565 0.627 0.775
20 P 0.392 0.873 0.573
21 Si 0.995 0.936 0.574
22 Co 0.036 0.005 0.879
23 P 0.959 0.655 0.821
24 Si 0.086 0.360 0.928
25 Si 0.029 0.827 0.320
26 Si 0.065 0.373 0.225
27 P 0.892 0.127 0.427
28 Si 0.529 0.173 0.680

energy: -11.5463 eV/atom